# 1
The following is a PBE-GGA calculation of an optimized crystal structure of LiAlH6Pb, from Alexandria via LeMat-Bulk.

Cell: 4.8500 4.8500 4.8994 Å, 90.00 90.00 120.00°
Space group P312 (No. 149)
Asymmetric unit:
Li 0.0000 0.0000 0.0000 x1
Al 0.3333 0.6667 0.0000 x1
H 0.0518 0.3609 0.2083 x6
Pb 0.6667 0.3333 0.5000 x1

## Properties
Total energy (eV per formula unit): -29.28
Calculated volume (Å³/cell): 99.8
Crystal system: trigonal

=====

# 2
The following is a PBE-GGA calculation of an optimized crystal structure of Li2AlHPd, from Alexandria via LeMat-Bulk.

Cell: 3.8563 3.8563 3.9191 Å, 90.00 90.00 90.00°
Space group P4/mmm (No. 123)
Asymmetric unit:
Li 0.0000 0.5000 0.0000 x2
Al 0.0000 0.0000 0.5000 x1
H 0.5000 0.5000 0.0000 x1
Pd 0.5000 0.5000 0.5000 x1

## Properties
Total energy (eV per formula unit): -18.08
Calculated volume (Å³/cell): 58.3
Energy relative to the lowest polymorph listed for this composition (meV per atom): 10.2
Crystal system: tetragonal

=====

# 3
The following is a PBE-GGA calculation of an optimized crystal structure of LiAlH2Pd5, from Alexandria via LeMat-Bulk.

Cell: 3.9616 3.9616 7.5145 Å, 90.00 90.00 90.00°
Space group P4/mmm (No. 123)
Asymmetric unit:
Li 0.0000 0.0000 0.0000 x1
Al 0.5000 0.5000 0.5000 x1
H 0.0000 0.0000 0.2441 x2
Pd 0.0000 0.0000 0.5000 x1
Pd 0.0000 0.5000 0.2430 x4

## Properties
Total energy (eV per formula unit): -41.19
Calculated volume (Å³/cell): 117.9
Crystal system: tetragonal

=====

# 4
The following is a PBE-GGA calculation of an optimized crystal structure of Li2AlHPd, from Alexandria via LeMat-Bulk.

Cell: 3.6968 3.6968 4.2843 Å, 90.00 90.00 90.00°
Space group P4/mmm (No. 123)
Asymmetric unit:
Li 0.0000 0.5000 0.0000 x2
Al 0.0000 0.0000 0.5000 x1
H 0.0000 0.0000 0.0000 x1
Pd 0.5000 0.5000 0.5000 x1

## Properties
Total energy (eV per formula unit): -18.13
Calculated volume (Å³/cell): 58.6
Energy relative to the lowest polymorph listed for this composition (meV per atom): 0.0
Crystal system: tetragonal